[1]
First-principles (PBE) data for BeSb2PtI after structural relaxation, as listed in the Alexandria database.

Cell: 5.2406 5.2406 5.6157 Å, 90.00 90.00 90.00°
With the nearest neighbours (Å) after each atom.
Atoms (fractional coordinates):
Be  0.0000  0.0000  0.0000  4 I 3.71, 8 Sb 3.84
Sb  0.0000  0.5000  0.5000  2 Pt 2.62
Sb  0.5000  0.0000  0.5000  2 Pt 2.62
Pt  0.5000  0.5000  0.5000  4 Sb 2.62, 2 I 2.81
I  0.5000  0.5000  0.0000  2 Pt 2.81

Summary:
- offset from the most stable computed form (meV per atom) = 130.2
- spin magnetization (μB/cell) = 0.00
- formation energy from raw total energies (eV/atom) = 0.88
- electronic total energy (eV per atom) = -3.04


[2]
First-principles (PBE) data for BeSb2PtI after structural relaxation, as listed in the Alexandria database.

Cell: 4.8521 4.8521 4.9477 Å, 90.00 90.00 90.00°
With the nearest neighbours (Å) after each atom.
Atoms (fractional coordinates):
Be  0.0000  0.0000  0.0000  4 Sb 2.43, 2 I 2.47
Sb  0.0000  0.5000  0.0000  2 Be 2.43
Sb  0.5000  0.0000  0.0000  2 Be 2.43
Pt  0.5000  0.5000  0.5000  4 I 3.43, 8 Sb 3.46
I  0.0000  0.0000  0.5000  2 Be 2.47

Summary:
- offset from the most stable computed form (meV per atom) = 0.0
- spin magnetization (μB/cell) = 0.00
- formation energy from raw total energies (eV/atom) = 0.75
- electronic total energy (eV per atom) = -3.17


[3]
First-principles (PBE) data for Be2SnPtI after structural relaxation, as listed in the Alexandria database.

Cell: 4.6665 4.6665 5.2374 Å, 90.00 90.00 90.00°
With the nearest neighbours (Å) after each atom.
Atoms (fractional coordinates):
Be  0.0000  0.5000  0.0000  2 I 2.33
Be  0.5000  0.0000  0.0000  2 I 2.33
Sn  0.0000  0.0000  0.5000  4 Pt 3.30, 8 Be 3.51
Pt  0.5000  0.5000  0.5000  2 I 2.62
I  0.5000  0.5000  0.0000  4 Be 2.33

Summary:
- spin magnetization (μB/cell) = 0.00
- formation energy from raw total energies (eV/atom) = 1.24
- electronic total energy (eV per atom) = -2.57